(w)
! PBE with a Hubbard U Li2Ni3P4O14, optimized geometry; values from VASP
! space group = P2_1/c, No. 14
! total magnetic moment = 11.71 μB per cell
&SYSTEM
  ibrav = 0, nat = 46, ntyp = 4
/
ATOMIC_SPECIES
Ni 58.69 Ni.upf
O 16.00 O.upf
P 30.97 P.upf
Li 6.94 Li.upf
ATOMIC_POSITIONS crystal
Ni 0.625 0.188 0.481
O 0.379 0.150 0.119
Ni 0.875 0.188 0.981
O 0.579 0.966 0.393
O 0.004 0.385 0.799
P 0.794 0.884 0.806
O 0.333 0.621 0.403
O 0.833 0.379 0.097
P 0.452 0.596 0.283
Ni 0.000 0.000 0.500
Li 0.915 0.293 0.635
O 0.496 0.385 0.299
O 0.167 0.621 0.903
Ni 0.375 0.812 0.519
O 0.921 0.966 0.893
P 0.548 0.404 0.717
O 0.609 0.279 0.878
O 0.621 0.850 0.881
O 0.638 0.678 0.308
O 0.862 0.678 0.808
P 0.294 0.116 0.694
O 0.667 0.379 0.597
P 0.952 0.404 0.217
O 0.421 0.034 0.607
Li 0.085 0.707 0.365
O 0.879 0.850 0.381
O 0.295 0.987 0.863
O 0.109 0.721 0.622
P 0.706 0.884 0.306
Li 0.415 0.707 0.865
O 0.121 0.150 0.619
O 0.205 0.987 0.363
O 0.138 0.322 0.192
O 0.504 0.615 0.701
P 0.206 0.116 0.194
O 0.795 0.013 0.637
Ni 0.125 0.812 0.019
O 0.079 0.034 0.107
O 0.705 0.013 0.137
O 0.391 0.721 0.122
O 0.362 0.322 0.692
O 0.996 0.615 0.201
P 0.048 0.596 0.783
Li 0.585 0.293 0.135
Ni 0.500 0.000 0.000
O 0.891 0.279 0.378
CELL_PARAMETERS angstrom
7.877 0.000 0.000
0.000 7.284 -0.004
0.000 3.243 8.863

---

(x)
! PBE with a Hubbard U Li2Ni3P4O14, optimized geometry; values from VASP
! space group = P-1, No. 2
! total magnetic moment = 11.86 μB per cell
&SYSTEM
  ibrav = 0, nat = 46, ntyp = 4
/
ATOMIC_SPECIES
O 16.00 O.upf
Ni 58.69 Ni.upf
P 30.97 P.upf
Li 6.94 Li.upf
ATOMIC_POSITIONS crystal
O 0.637 0.848 0.290
O 0.416 0.976 0.856
O 0.766 0.689 0.930
Ni 0.943 0.357 0.186
O 0.125 0.989 0.586
P 0.191 0.113 0.793
P 0.461 0.762 0.928
P 0.647 0.581 0.680
Ni 0.795 0.718 0.406
O 0.419 0.295 0.414
O 0.994 0.981 0.787
O 0.875 0.011 0.414
O 0.006 0.019 0.213
O 0.710 0.146 0.991
Li 0.073 0.211 0.983
O 0.584 0.024 0.144
O 0.962 0.681 0.160
O 0.393 0.563 0.732
O 0.234 0.311 0.070
O 0.797 0.720 0.714
P 0.809 0.887 0.207
Ni 0.224 0.955 0.333
Ni 0.205 0.282 0.594
Li 0.349 0.690 0.124
O 0.642 0.413 0.101
P 0.353 0.419 0.320
O 0.290 0.854 0.009
O 0.828 0.401 0.447
O 0.607 0.437 0.268
P 0.539 0.238 0.072
O 0.161 0.650 0.337
P 0.302 0.784 0.543
O 0.363 0.152 0.710
O 0.581 0.705 0.586
Ni 0.776 0.045 0.667
Li 0.927 0.789 0.017
O 0.406 0.846 0.449
O 0.038 0.319 0.840
O 0.594 0.154 0.551
O 0.172 0.599 0.553
Ni 0.057 0.643 0.814
O 0.203 0.280 0.286
O 0.839 0.350 0.663
O 0.358 0.587 0.899
P 0.698 0.216 0.457
Li 0.651 0.310 0.876
CELL_PARAMETERS angstrom
5.248 0.006 -0.003
1.959 6.091 -0.017
2.205 1.740 15.600

---

Least stable: (x)

---

(w)
! PBE with a Hubbard U LiNiPO4, optimized geometry; values from VASP
! space group = Pna2_1, No. 33
! total magnetic moment = 7.89 μB per cell
&SYSTEM
  ibrav = 0, nat = 28, ntyp = 4
/
ATOMIC_SPECIES
P 30.97 P.upf
O 16.00 O.upf
Ni 58.69 Ni.upf
Li 6.94 Li.upf
ATOMIC_POSITIONS crystal
P 0.747 0.751 0.404
O 0.299 0.269 0.942
O 0.799 0.769 0.558
O 0.372 0.058 0.145
O 0.299 0.231 0.442
P 0.247 0.249 0.596
O 0.437 0.745 0.372
P 0.247 0.251 0.096
Ni 0.770 0.511 0.642
O 0.371 0.425 0.170
O 0.871 0.575 0.830
O 0.872 0.558 0.355
O 0.871 0.925 0.330
Ni 0.770 0.989 0.142
Li 0.258 0.992 0.338
Li 0.258 0.508 0.838
Ni 0.270 0.011 0.858
Li 0.758 0.008 0.662
O 0.372 0.442 0.645
O 0.937 0.255 0.628
O 0.872 0.942 0.855
O 0.799 0.731 0.058
O 0.371 0.075 0.670
P 0.747 0.749 0.904
Li 0.758 0.492 0.162
O 0.437 0.755 0.872
Ni 0.270 0.489 0.358
O 0.937 0.245 0.128
CELL_PARAMETERS angstrom
-1.677 -2.221 4.047
6.300 -2.887 1.027
2.711 7.848 5.431

---

(x)
! PBE with a Hubbard U LiNiPO4, optimized geometry; values from VASP
! space group = P2_12_12_1, No. 19
! total magnetic moment = 7.95 μB per cell
&SYSTEM
  ibrav = 0, nat = 28, ntyp = 4
/
ATOMIC_SPECIES
O 16.00 O.upf
Ni 58.69 Ni.upf
Li 6.94 Li.upf
P 30.97 P.upf
ATOMIC_POSITIONS crystal
O 0.278 0.792 0.916
O 0.222 0.793 0.416
O 0.200 0.000 0.202
Ni 0.985 0.000 0.025
O 0.700 0.500 0.798
Ni 0.515 0.000 0.525
O 0.722 0.292 0.584
O 0.300 0.000 0.702
O 0.244 0.500 0.151
Li 0.500 0.251 0.250
Li 0.000 0.249 0.750
O 0.800 0.500 0.298
P 0.919 0.500 0.156
O 0.778 0.293 0.084
Li 0.500 0.751 0.250
Ni 0.485 0.500 0.975
O 0.744 0.000 0.849
Li 0.000 0.749 0.750
P 0.419 0.000 0.844
P 0.581 0.500 0.656
O 0.756 0.000 0.349
O 0.278 0.207 0.916
O 0.722 0.707 0.584
P 0.081 0.000 0.344
O 0.256 0.500 0.651
O 0.778 0.708 0.084
O 0.222 0.208 0.416
Ni 0.015 0.500 0.475
CELL_PARAMETERS angstrom
-2.262 3.158 -2.689
-2.676 -4.400 -2.915
-7.643 0.219 6.687

---

(y)
! PBE with a Hubbard U LiNiPO4, optimized geometry; values from VASP
! space group = Pbcn, No. 60
! total magnetic moment = 8.04 μB per cell
&SYSTEM
  ibrav = 0, nat = 28, ntyp = 4
/
ATOMIC_SPECIES
Li 6.94 Li.upf
O 16.00 O.upf
P 30.97 P.upf
Ni 58.69 Ni.upf
ATOMIC_POSITIONS crystal
Li 0.000 0.248 0.750
O 0.741 0.951 0.411
P 0.000 0.390 0.250
O 0.314 0.170 0.967
O 0.741 0.049 0.911
Ni 0.500 0.563 0.250
Li 0.500 0.252 0.250
P 0.000 0.610 0.750
Li 0.000 0.752 0.250
O 0.314 0.830 0.467
O 0.814 0.670 0.533
P 0.500 0.890 0.250
Ni 0.000 0.937 0.750
O 0.759 0.549 0.911
Ni 0.000 0.063 0.250
O 0.686 0.170 0.533
O 0.186 0.330 0.467
O 0.186 0.670 0.967
O 0.241 0.451 0.089
O 0.759 0.451 0.411
O 0.241 0.549 0.589
O 0.686 0.830 0.033
P 0.500 0.110 0.750
O 0.814 0.330 0.033
Ni 0.500 0.437 0.750
O 0.259 0.049 0.589
Li 0.500 0.748 0.750
O 0.259 0.951 0.089
CELL_PARAMETERS angstrom
4.281 0.000 -0.001
0.000 14.307 0.000
0.001 0.000 4.768

---

Least stable: (y)

---

(w)
! PBE with a Hubbard U LiNiPO4, optimized geometry; values from VASP
! space group = Pc, No. 7
! total magnetic moment = 8.14 μB per cell
&SYSTEM
  ibrav = 0, nat = 28, ntyp = 4
/
ATOMIC_SPECIES
O 16.00 O.upf
P 30.97 P.upf
Li 6.94 Li.upf
Ni 58.69 Ni.upf
ATOMIC_POSITIONS crystal
O 0.598 0.678 0.562
O 0.805 0.626 0.930
P 0.168 0.259 0.825
O 0.311 0.186 0.694
Li 0.158 0.039 0.568
Ni 0.834 0.639 0.395
O 0.195 0.626 0.430
O 0.660 0.940 0.905
O 0.302 0.426 0.845
O 0.806 0.782 0.171
O 0.402 0.678 0.062
P 0.333 0.754 0.516
P 0.832 0.259 0.325
Li 0.344 0.495 0.280
O 0.110 0.297 0.270
Ni 0.166 0.639 0.895
O 0.340 0.940 0.405
O 0.194 0.782 0.671
O 0.698 0.426 0.345
O 0.689 0.186 0.194
O 0.169 0.122 0.992
Ni 0.333 0.120 0.201
Ni 0.667 0.120 0.701
Li 0.842 0.039 0.068
P 0.667 0.754 0.016
O 0.890 0.297 0.770
O 0.831 0.122 0.492
Li 0.656 0.495 0.780
CELL_PARAMETERS angstrom
-1.108 -2.611 -4.545
-1.701 -6.512 4.156
-8.182 0.749 1.565

---

(x)
! PBE with a Hubbard U LiNiPO4, optimized geometry; values from VASP
! space group = R3, No. 146
! total magnetic moment = 12.28 μB per cell
&SYSTEM
  ibrav = 0, nat = 42, ntyp = 4
/
ATOMIC_SPECIES
O 16.00 O.upf
P 30.97 P.upf
Li 6.94 Li.upf
Ni 58.69 Ni.upf
ATOMIC_POSITIONS crystal
O 0.403 0.769 0.086
O 0.299 0.973 0.961
P 0.567 0.385 0.792
O 0.082 0.745 0.024
Li 0.128 0.892 0.717
O 0.961 0.299 0.973
O 0.592 0.916 0.643
O 0.025 0.285 0.353
O 0.086 0.403 0.769
Ni 0.453 0.236 0.066
Ni 0.934 0.542 0.778
O 0.577 0.275 0.910
O 0.745 0.024 0.082
O 0.285 0.353 0.025
Li 0.717 0.128 0.892
Li 0.892 0.717 0.128
O 0.687 0.356 0.687
O 0.916 0.643 0.592
Li 0.612 0.206 0.432
O 0.356 0.687 0.687
O 0.024 0.082 0.745
O 0.643 0.592 0.916
O 0.275 0.910 0.577
P 0.283 0.876 0.090
P 0.385 0.792 0.567
O 0.649 0.371 0.314
Ni 0.542 0.778 0.934
O 0.687 0.687 0.356
P 0.876 0.090 0.283
O 0.910 0.577 0.275
P 0.090 0.283 0.876
P 0.792 0.567 0.385
Ni 0.066 0.453 0.236
O 0.353 0.025 0.285
O 0.973 0.961 0.299
Ni 0.778 0.934 0.542
O 0.314 0.649 0.371
Li 0.432 0.612 0.206
O 0.371 0.314 0.649
Li 0.206 0.432 0.612
O 0.769 0.086 0.403
Ni 0.236 0.066 0.453
CELL_PARAMETERS angstrom
8.461 -0.020 -0.030
-2.456 8.097 -0.030
-2.456 -3.304 7.392

---

Least stable: (w)